Below is a relaxed Ac4Ge2Ir crystal, with properties calculated at the PBE-GGA level.

Summary:
calculated volume	259	Å³/cell
DOS at the Fermi energy	5.23	states/eV/cell
total DFT energy (no corrections)	-37.40	eV/cell
relative energy among the computed polymorphs	216	meV per atom
energy relative to the elements	-9.45	kcal/mol of atoms

a b c (Å): 5.5877 5.5877 9.1844
angles (deg): 107.71 107.71 90.00
Last column: nearest neighbours and their distance in Å.
Atoms (fractional coordinates):
Ac 0.1844 0.1844 0.3689  1 Ir 3.06, 1 Ge 3.10
Ac 0.5000 0.0000 0.0000  2 Ir 2.79
Ac 0.0000 0.5000 0.0000  2 Ir 2.79
Ac 0.8156 0.8156 0.6311  1 Ir 3.06, 1 Ge 3.10
Ge 0.3716 0.3716 0.7432  1 Ac 3.10
Ge 0.6284 0.6284 0.2568  1 Ac 3.10
Ir 0.0000 0.0000 0.0000  6 Ac 2.79-3.06

=====

Below is a relaxed Er3Tm12Cu5 crystal, with properties calculated at the PBE-GGA level.

Summary:
calculated volume	2499	Å³/cell
DOS at the Fermi energy	75.63	states/eV/cell
total DFT energy (no corrections)	-314.99	eV/cell
energy relative to the elements	10.47	kcal/mol of atoms

a b c (Å): 14.8062 14.8062 14.8062
angles (deg): 109.47 109.47 109.47
Last column: nearest neighbours and their distance in Å.
Atoms (fractional coordinates):
Er 0.7500 0.8750 0.6250  8 Tm 3.28-3.42
Er 0.3750 0.7500 0.6250  8 Tm 3.28-3.42
Er 0.7500 0.3750 0.1250  8 Tm 3.28-3.42
Er 0.2500 0.1250 0.3750  8 Tm 3.28-3.42
Er 0.6250 0.2500 0.3750  8 Tm 3.28-3.42
Er 0.3750 0.6250 0.2500  8 Tm 3.28-3.42
Er 0.1250 0.8750 0.7500  8 Tm 3.28-3.42
Er 0.1250 0.2500 0.8750  8 Tm 3.28-3.42
Er 0.8750 0.7500 0.1250  8 Tm 3.28-3.42
Er 0.6250 0.3750 0.7500  8 Tm 3.28-3.42
Er 0.2500 0.6250 0.8750  8 Tm 3.28-3.42
Er 0.8750 0.1250 0.2500  8 Tm 3.28-3.42
Tm 0.1100 0.7038 0.5294  2 Cu 2.65-2.71
Tm 0.6100 0.5807 0.9062  2 Cu 2.65-2.71
Tm 0.9706 0.3900 0.2962  2 Cu 2.65-2.71
Tm 0.1100 0.4062 0.0807  2 Cu 2.65-2.71
Tm 0.5294 0.3255 0.9193  2 Cu 2.65-2.71
Tm 0.9706 0.5807 0.1745  2 Cu 2.65-2.71
Tm 0.7962 0.3255 0.9062  2 Cu 2.65-2.71
Tm 0.8900 0.2962 0.4706  2 Cu 2.65-2.71
Tm 0.9062 0.0807 0.6100  2 Cu 2.65-2.71
Tm 0.0807 0.1745 0.4706  2 Cu 2.65-2.71
Tm 0.5938 0.8900 0.4193  2 Cu 2.65-2.71
Tm 0.4706 0.7962 0.8900  2 Cu 2.65-2.71
Tm 0.3255 0.5294 0.4193  2 Cu 2.65-2.71
Tm 0.2962 0.4062 0.8255  2 Cu 2.65-2.71
Tm 0.0294 0.4193 0.8255  2 Cu 2.65-2.71
Tm 0.5938 0.7038 0.6745  2 Cu 2.65-2.71
Tm 0.4062 0.1100 0.5807  2 Cu 2.65-2.71
Tm 0.8255 0.9193 0.0294  2 Cu 2.65-2.71
Tm 0.3900 0.9706 0.7962  2 Cu 2.65-2.71
Tm 0.0294 0.6100 0.7038  2 Cu 2.65-2.71
Tm 0.4706 0.6745 0.0807  2 Cu 2.65-2.71
Tm 0.2038 0.6745 0.0938  2 Cu 2.65-2.71
Tm 0.8900 0.5938 0.9193  2 Cu 2.65-2.71
Tm 0.1745 0.0938 0.7038  2 Cu 2.65-2.71
Tm 0.2038 0.5294 0.6100  2 Cu 2.65-2.71
Tm 0.1745 0.0807 0.9706  2 Cu 2.65-2.71
Tm 0.7962 0.4706 0.3900  2 Cu 2.65-2.71
Tm 0.7038 0.5938 0.1745  2 Cu 2.65-2.71
Tm 0.4193 0.3900 0.5938  2 Cu 2.65-2.71
Tm 0.3255 0.7962 0.4062  2 Cu 2.65-2.71
Tm 0.6745 0.4706 0.5807  2 Cu 2.65-2.71
Tm 0.9193 0.8255 0.5294  2 Cu 2.65-2.71
Tm 0.5807 0.6100 0.4062  2 Cu 2.65-2.71
Tm 0.3900 0.4193 0.0938  2 Cu 2.65-2.71
Tm 0.5807 0.9706 0.6745  2 Cu 2.65-2.71
Tm 0.6100 0.0294 0.2038  2 Cu 2.65-2.71
Tm 0.9062 0.8255 0.7962  2 Cu 2.65-2.71
Tm 0.5294 0.2038 0.1100  2 Cu 2.65-2.71
Tm 0.9193 0.0938 0.8900  2 Cu 2.65-2.71
Tm 0.4193 0.0294 0.3255  2 Cu 2.65-2.71
Tm 0.4062 0.2962 0.3255  2 Cu 2.65-2.71
Tm 0.0938 0.9193 0.3900  2 Cu 2.65-2.71
Tm 0.0938 0.1745 0.2038  2 Cu 2.65-2.71
Tm 0.8255 0.9062 0.2962  2 Cu 2.65-2.71
Tm 0.7038 0.1100 0.0294  2 Cu 2.65-2.71
Tm 0.6745 0.2038 0.5938  2 Cu 2.65-2.71
Tm 0.0807 0.9062 0.1100  2 Cu 2.65-2.71
Tm 0.2962 0.8900 0.9706  2 Cu 2.65-2.71
Cu 0.5000 0.5000 0.0000  6 Tm 2.71
Cu 0.7500 0.6250 0.3750  4 Tm 2.65
Cu 0.5000 0.5000 0.5000  6 Tm 2.71
Cu 0.0000 0.0000 0.0000  6 Tm 2.71
Cu 0.0000 0.5000 0.0000  6 Tm 2.71
Cu 0.5000 0.0000 0.5000  6 Tm 2.71
Cu 0.2500 0.8750 0.1250  4 Tm 2.65
Cu 0.3750 0.1250 0.7500  4 Tm 2.65
Cu 0.7500 0.1250 0.8750  4 Tm 2.65
Cu 0.1250 0.7500 0.3750  4 Tm 2.65
Cu 0.2500 0.3750 0.6250  4 Tm 2.65
Cu 0.0000 0.0000 0.5000  6 Tm 2.71
Cu 0.8750 0.6250 0.7500  4 Tm 2.65
Cu 0.6250 0.8750 0.2500  4 Tm 2.65
Cu 0.3750 0.2500 0.1250  4 Tm 2.65
Cu 0.5000 0.0000 0.0000  6 Tm 2.71
Cu 0.0000 0.5000 0.5000  6 Tm 2.71
Cu 0.1250 0.3750 0.2500  4 Tm 2.65
Cu 0.6250 0.7500 0.8750  4 Tm 2.65
Cu 0.8750 0.2500 0.6250  4 Tm 2.65

=====

Below is a relaxed Pr3Nd6Tl crystal, with properties calculated at the PBE-GGA level.

Summary:
calculated volume	686	Å³/cell
DOS at the Fermi energy	24.60	states/eV/cell
total DFT energy (no corrections)	-90.29	eV/cell
relative energy among the computed polymorphs	14	meV per atom
energy relative to the elements	0.38	kcal/mol of atoms

a b c (Å): 6.4888 11.7008 11.7008
angles (deg): 129.41 90.00 90.00
Last column: nearest neighbours and their distance in Å.
Atoms (fractional coordinates):
Nd 0.7882 0.2920 0.7080  1 Pr 3.26, 1 Tl 3.26, 4 Nd 3.46-3.54
Nd 0.8254 0.0192 0.9808  1 Tl 3.23, 4 Nd 3.34-3.58
Nd 0.8386 0.5332 0.0982  2 Pr 3.33-3.39, 4 Nd 3.46-3.69, 1 Tl 3.63
Nd 0.2882 0.7080 0.2920  1 Pr 3.26, 1 Tl 3.26, 4 Nd 3.46-3.54
Nd 0.5550 0.6277 0.7425  3 Pr 3.48-3.61, 3 Nd 3.58-3.70, 1 Tl 3.80
Nd 0.0550 0.7425 0.6277  3 Pr 3.48-3.61, 3 Nd 3.58-3.70, 1 Tl 3.80
Nd 0.8386 0.9018 0.4668  2 Pr 3.33-3.39, 4 Nd 3.46-3.69, 1 Tl 3.63
Nd 0.0550 0.3723 0.2575  3 Pr 3.48-3.61, 3 Nd 3.58-3.70, 1 Tl 3.80
Nd 0.3386 0.0982 0.5332  2 Pr 3.33-3.39, 4 Nd 3.46-3.69, 1 Tl 3.63
Nd 0.3254 0.9808 0.0192  1 Tl 3.23, 4 Nd 3.34-3.58
Nd 0.5550 0.2575 0.3723  3 Pr 3.48-3.61, 3 Nd 3.58-3.70, 1 Tl 3.80
Nd 0.3386 0.4668 0.9018  2 Pr 3.33-3.39, 4 Nd 3.46-3.69, 1 Tl 3.63
Tl 0.5356 0.8423 0.1577  2 Nd 3.23-3.26, 2 Pr 3.41
Tl 0.0356 0.1577 0.8423  2 Nd 3.23-3.26, 2 Pr 3.41
Pr 0.9822 0.0396 0.2964  5 Nd 3.33-3.69, 2 Pr 3.36-3.51, 1 Tl 3.41
Pr 0.4822 0.2964 0.0396  5 Nd 3.33-3.69, 2 Pr 3.36-3.51, 1 Tl 3.41
Pr 0.9822 0.7036 0.9604  5 Nd 3.33-3.69, 2 Pr 3.36-3.51, 1 Tl 3.41
Pr 0.4822 0.9604 0.7036  5 Nd 3.33-3.69, 2 Pr 3.36-3.51, 1 Tl 3.41
Pr 0.5845 0.5838 0.4162  5 Nd 3.26-3.61, 2 Pr 3.51
Pr 0.0845 0.4162 0.5838  5 Nd 3.26-3.61, 2 Pr 3.51

=====

Below is a relaxed Pr12Ho5In2 crystal, with properties calculated at the PBE-GGA level.

Summary:
calculated volume	647	Å³/cell
DOS at the Fermi energy	29.37	states/eV/cell
total DFT energy (no corrections)	-85.65	eV/cell
energy relative to the elements	0.08	kcal/mol of atoms

a b c (Å): 10.5450 9.1358 8.2505
angles (deg): 85.86 90.00 125.25
Last column: nearest neighbours and their distance in Å.
Atoms (fractional coordinates):
Pr 0.0461 0.6523 0.7917  1 In 3.30, 4 Pr 3.49-3.69, 2 Ho 3.53-3.65
Pr 0.6254 0.7912 0.3751  1 In 3.34, 5 Pr 3.43-3.70, 4 Ho 3.45-3.57
Pr 0.3746 0.2088 0.6249  1 In 3.34, 5 Pr 3.43-3.70, 4 Ho 3.45-3.57
Pr 0.3939 0.3477 0.2083  1 In 3.30, 4 Pr 3.49-3.69, 2 Ho 3.53-3.65
Pr 0.6061 0.6523 0.7917  1 In 3.30, 4 Pr 3.49-3.69, 2 Ho 3.53-3.65
Pr 0.1658 0.7912 0.3751  1 In 3.34, 5 Pr 3.43-3.70, 4 Ho 3.45-3.57
Pr 0.8342 0.2088 0.6249  1 In 3.34, 5 Pr 3.43-3.70, 4 Ho 3.45-3.57
Pr 0.8781 0.7563 0.0978  2 Ho 3.50-3.78, 2 In 3.54, 5 Pr 3.56-3.85
Pr 0.9539 0.3477 0.2083  1 In 3.30, 4 Pr 3.49-3.69, 2 Ho 3.53-3.65
Pr 0.5568 0.1135 0.3054  3 Ho 3.43-3.77, 7 Pr 3.43-3.70, 2 In 3.57
Pr 0.1219 0.2437 0.9022  2 Ho 3.50-3.78, 2 In 3.54, 5 Pr 3.56-3.85
Pr 0.4432 0.8865 0.6946  3 Ho 3.43-3.77, 7 Pr 3.43-3.70, 2 In 3.57
In 0.2818 0.0000 0.0000  2 Ho 3.29, 8 Pr 3.30-3.57
In 0.7182 0.0000 0.0000  2 Ho 3.29, 8 Pr 3.30-3.57
Ho 0.2408 0.4815 0.5169  8 Pr 3.47-3.65, 2 Ho 3.61-3.75
Ho 0.0000 0.0000 0.5000  4 Pr 3.45, 2 Ho 3.61
Ho 0.3453 0.6905 0.0860  2 In 3.29, 5 Pr 3.43-3.53
Ho 0.7592 0.5185 0.4831  8 Pr 3.47-3.65, 2 Ho 3.61-3.75
Ho 0.6547 0.3095 0.9140  2 In 3.29, 5 Pr 3.43-3.53

=====

DOS at the Fermi energy of number 2 (Er3Tm12Cu5)?
75.63 states/eV/cell

=====

energy relative to the elements of number 1 (Ac4Ge2Ir)?
-9.45 kcal/mol of atoms